No. 1
Here is a relaxed Gd3TmN crystal from the Alexandria database. Energies are from PBE-GGA.

abc: 5.003 5.003 5.003
angles: 90.00 90.00 90.00
Fractional coordinates of all 5 atoms:
Gd 0.000 0.000 0.500
Gd 0.000 0.500 0.000
Gd 0.500 0.000 0.000
Tm 0.500 0.500 0.500
N 0.000 0.000 0.000

- Energy: -11.523 eV per atom
- Crystal system: cubic

---

No. 2
Here is a relaxed GdUN2 crystal from the Alexandria database. Energies are from PBE-GGA.

abc: 3.468 3.468 17.154
angles: 90.00 90.00 120.00
Fractional coordinates of all 12 atoms:
Gd 0.000 0.000 0.000
Gd 0.333 0.667 0.667
Gd 0.667 0.333 0.333
U 0.000 0.000 0.500
U 0.333 0.667 0.167
U 0.667 0.333 0.833
N 0.000 0.000 0.243
N 0.000 0.000 0.757
N 0.333 0.667 0.424
N 0.333 0.667 0.910
N 0.667 0.333 0.090
N 0.667 0.333 0.576

- Energy: -11.953 eV per atom
- Crystal system: trigonal

---

No. 3
Here is a relaxed GdUN crystal from the Alexandria database. Energies are from PBE-GGA.

abc: 4.523 4.523 7.730
angles: 90.00 90.00 90.00
Fractional coordinates of all 6 atoms:
Gd 0.000 0.000 0.000
Gd 0.500 0.500 0.500
U 0.000 0.000 0.468
U 0.500 0.500 0.968
N 0.000 0.000 0.720
N 0.500 0.500 0.220

- Energy: -10.729 eV per atom
- Crystal system: tetragonal

---

No. 4
Here is a relaxed Gd3U5N12 crystal from the Alexandria database. Energies are from PBE-GGA.

abc: 11.854 11.854 11.854
angles: 109.47 109.47 109.47
Fractional coordinates of all 80 atoms:
Gd 0.125 0.250 0.375
Gd 0.125 0.375 0.750
Gd 0.250 0.375 0.125
Gd 0.250 0.875 0.625
Gd 0.375 0.125 0.250
Gd 0.375 0.750 0.125
Gd 0.625 0.250 0.875
Gd 0.625 0.875 0.750
Gd 0.750 0.125 0.375
Gd 0.750 0.625 0.875
Gd 0.875 0.625 0.250
Gd 0.875 0.750 0.625
U 0.000 0.000 0.000
U 0.000 0.000 0.500
U 0.000 0.500 0.000
U 0.000 0.500 0.500
U 0.125 0.750 0.875
U 0.125 0.875 0.250
U 0.250 0.125 0.875
U 0.250 0.625 0.375
U 0.375 0.250 0.625
U 0.375 0.625 0.750
U 0.500 0.000 0.000
U 0.500 0.000 0.500
U 0.500 0.500 0.000
U 0.500 0.500 0.500
U 0.625 0.375 0.250
U 0.625 0.750 0.375
U 0.750 0.375 0.625
U 0.750 0.875 0.125
U 0.875 0.125 0.750
U 0.875 0.250 0.125
N 0.028 0.199 0.133
N 0.028 0.329 0.895
N 0.066 0.699 0.671
N 0.066 0.867 0.395
N 0.105 0.633 0.434
N 0.105 0.972 0.671
N 0.133 0.028 0.199
N 0.133 0.605 0.934
N 0.171 0.199 0.566
N 0.171 0.472 0.605
N 0.199 0.133 0.028
N 0.199 0.566 0.171
N 0.301 0.329 0.934
N 0.301 0.472 0.367
N 0.329 0.895 0.028
N 0.329 0.934 0.301
N 0.367 0.301 0.472
N 0.367 0.566 0.895
N 0.395 0.066 0.867
N 0.395 0.829 0.528
N 0.434 0.105 0.633
N 0.434 0.829 0.801
N 0.472 0.367 0.301
N 0.472 0.605 0.171
N 0.528 0.395 0.829
N 0.528 0.633 0.699
N 0.566 0.171 0.199
N 0.566 0.895 0.367
N 0.605 0.171 0.472
N 0.605 0.934 0.133
N 0.633 0.434 0.105
N 0.633 0.699 0.528
N 0.671 0.066 0.699
N 0.671 0.105 0.972
N 0.699 0.528 0.633
N 0.699 0.671 0.066
N 0.801 0.434 0.829
N 0.801 0.867 0.972
N 0.829 0.528 0.395
N 0.829 0.801 0.434
N 0.867 0.395 0.066
N 0.867 0.972 0.801
N 0.895 0.028 0.329
N 0.895 0.367 0.566
N 0.934 0.133 0.605
N 0.934 0.301 0.329
N 0.972 0.671 0.105
N 0.972 0.801 0.867

- Energy: -11.148 eV per atom
- Crystal system: cubic

---

No. 5
Here is a relaxed Gd2VN crystal from the Alexandria database. Energies are from PBE-GGA.

abc: 3.359 3.359 26.183
angles: 90.00 90.00 120.00
Fractional coordinates of all 12 atoms:
Gd 0.000 0.000 0.113
Gd 0.000 0.000 0.887
Gd 0.333 0.667 0.554
Gd 0.333 0.667 0.779
Gd 0.667 0.333 0.221
Gd 0.667 0.333 0.446
V 0.000 0.000 0.000
V 0.333 0.667 0.667
V 0.667 0.333 0.333
N 0.000 0.000 0.500
N 0.333 0.667 0.167
N 0.667 0.333 0.833

- Energy: -11.559 eV per atom
- Crystal system: trigonal

---

No. 6
Here is a relaxed GdWN3 crystal from the Alexandria database. Energies are from PBE-GGA.

abc: 3.602 5.776 7.560
angles: 105.59 103.77 90.07
Fractional coordinates of all 10 atoms:
Gd 0.090 0.274 0.179
Gd 0.910 0.726 0.821
W 0.340 0.140 0.684
W 0.660 0.860 0.316
N 0.195 0.025 0.387
N 0.362 0.467 0.725
N 0.468 0.078 0.944
N 0.532 0.922 0.056
N 0.638 0.533 0.275
N 0.805 0.975 0.613

- Energy: -11.072 eV per atom
- Crystal system: triclinic

---

No. 7
Here is a relaxed GdWN2 crystal from the Alexandria database. Energies are from PBE-GGA.

abc: 3.244 3.244 16.048
angles: 90.00 90.00 120.00
Fractional coordinates of all 12 atoms:
Gd 0.000 0.000 0.000
Gd 0.333 0.667 0.667
Gd 0.667 0.333 0.333
W 0.000 0.000 0.500
W 0.333 0.667 0.167
W 0.667 0.333 0.833
N 0.000 0.000 0.239
N 0.000 0.000 0.761
N 0.333 0.667 0.428
N 0.333 0.667 0.905
N 0.667 0.333 0.095
N 0.667 0.333 0.572

- Energy: -11.749 eV per atom
- Crystal system: trigonal

---

No. 8
Here is a relaxed GdYN crystal from the Alexandria database. Energies are from PBE-GGA.

abc: 6.052 6.052 6.052
angles: 90.00 90.00 90.00
Fractional coordinates of all 12 atoms:
Gd 0.000 0.000 0.000
Gd 0.000 0.500 0.500
Gd 0.500 0.000 0.500
Gd 0.500 0.500 0.000
Y 0.000 0.000 0.500
Y 0.000 0.500 0.000
Y 0.500 0.000 0.000
Y 0.500 0.500 0.500
N 0.250 0.250 0.750
N 0.250 0.750 0.250
N 0.750 0.250 0.250
N 0.750 0.750 0.750

- Crystal system: cubic
- Energy relative to the lowest polymorph listed for this composition: 681 meV/atom